# NaCo2Sn8, optimized geometry, DFT PBE
data_NaCo2Sn8
_space_group_name_H-M_alt 'P 4/m m m'
_space_group_IT_number 123
_space_group_name_Hall '-P 4 2'
_cell_length_a 6.2706
_cell_length_b 6.2706
_cell_length_c 7.6643
_cell_angle_alpha 90.00
_cell_angle_beta 90.00
_cell_angle_gamma 90.00
loop_
_atom_site_label
_atom_site_type_symbol
_atom_site_fract_x
_atom_site_fract_y
_atom_site_fract_z
Na1 Na 0.0000 0.0000 0.0000
Co1 Co 0.0000 0.5000 0.5000
Sn1 Sn 0.2534 0.2534 0.3007
# * energy of formation: 71 meV/atom